The following is a PBE calculation of a relaxed structure of Na2HfInTe5, from Alexandria via LeMat-Bulk.

a = 4.0183 Å, b = 9.9796 Å, c = 15.2709 Å
α = 90.00°, β = 90.00°, γ = 101.61°
Element x y z (fractional)
Na 0.8727 0.7453 0.8169
Na 0.1005 0.2010 0.6543
Na 0.1273 0.2547 0.3169
Na 0.8995 0.7990 0.1543
Hf 0.7752 0.5504 0.5430
Hf 0.2248 0.4496 0.0430
In 0.5675 0.1350 0.9215
In 0.4325 0.8650 0.4215
Te 0.3644 0.7288 0.9957
Te 0.7128 0.4256 0.9017
Te 0.4997 0.9995 0.7629
Te 0.2732 0.5465 0.6760
Te 0.9324 0.8647 0.5519
Te 0.6356 0.2712 0.4957
Te 0.2872 0.5744 0.4017
Te 0.5003 0.0005 0.2629
Te 0.7268 0.4535 0.1760
Te 0.0676 0.1353 0.0519

Summary:
The mass density is 5411 kg/m³. The value obtained for the magnetization is 0.0000 μB/atom. As for the density of states at the Fermi level: 10.3 states/eV per cell. The value obtained for the uncorrected formation energy is -620.6 meV per atom. Its symmetry is No. 36. Its crystal system is orthorhombic.